Entry 1:
Here is a relaxed InCuP2 crystal from Alexandria. Energies are from GGA-PBE.

Geometry as extended XYZ:
```
4
Lattice="-1.504 0.543 6.164 -0.198 -2.862 5.685 2.126 -0.029 6.002" Properties=species:S:1:pos:R:3 pbc="T T T"
Cu 0.106 -0.587 4.463
In 0.318 -1.761 13.388
P 0.220 -1.219 9.264
P 0.416 -2.304 17.512
```

Computed properties:
energy of formation: 0.1460 eV/atom
space group: R-3m
size of the total moment: 0.000 μB/cell
uncorrected energy: -17.07 eV per formula unit

---

Entry 2:
Here is a relaxed Pu2TaGe3Pt4 crystal from Alexandria. Energies are from GGA-PBE.

Geometry as extended XYZ:
```
10
Lattice="-0.416 -3.426 -2.447 2.661 -2.119 2.514 -8.336 -3.301 6.040" Properties=species:S:1:pos:R:3 pbc="T T T"
Pt -1.689 -2.255 3.445
Pt 0.000 0.000 0.000
Pt -5.525 -3.818 2.629
Pt 1.122 -2.772 0.034
Pu -2.218 -2.509 0.233
Pu -4.995 -3.565 5.841
Ge -4.168 -1.650 3.020
Ge 0.207 -1.504 2.071
Ge -7.421 -4.569 4.003
Ta -3.046 -4.423 3.054
```

Computed properties:
energy of formation: -0.6393 eV/atom
space group: P-4m2
size of the total moment: 10.804 μB/cell
uncorrected energy: -84.92 eV per formula unit

---

Entry 3:
Here is a relaxed Er4IrRu crystal from Alexandria. Energies are from GGA-PBE.

Geometry as extended XYZ:
```
12
Lattice="-4.085 4.033 2.518 -4.602 -5.610 -1.563 5.433 -1.716 5.301" Properties=species:S:1:pos:R:3 pbc="T T T"
Er 0.339 -3.570 4.579
Er -2.904 -1.816 4.333
Er -0.350 -1.477 1.923
Er -3.593 0.277 1.678
Er 3.612 -2.832 4.281
Er -2.331 -5.017 2.837
Er -6.866 -0.461 1.975
Er -0.923 1.724 3.419
Ru -3.063 3.024 1.892
Ru -0.190 -6.317 4.365
Ir -3.028 -2.474 1.410
Ir -0.226 -0.819 4.846
```

Computed properties:
energy of formation: -0.5920 eV/atom
energy above the most stable polymorph in this dataset: 0.0 kJ per mole of atoms
space group: C2/c
size of the total moment: 0.000 μB/cell
uncorrected energy: -39.94 eV per formula unit